Entry 1:
{"formula": "LiErRh", "functional": "GGA-PBE", "state": "relaxed", "lattice_angstrom": [[3.443, 0.000, 0.000], [0.000, 3.443, 0.000], [-1.722, -1.722, 4.626]], "species": ["Er", "Rh", "Li"], "frac_coords": [[0.935, 0.935, 0.871], [0.275, 0.275, 0.551], [0.639, 0.639, 0.278]], "formation_energy_ev_per_atom": -0.421, "e_above_lowest_polymorph_ev_per_fu": 0.08, "e_tot_ev_per_atom": -5.030, "sg": "No. 107"}

=====

Entry 2:
{"formula": "ZnCdPb2", "functional": "GGA-PBE", "state": "relaxed", "lattice_angstrom": [[8.351, 0.000, 0.000], [0.000, 8.351, 0.000], [4.175, 4.175, 3.153]], "species": ["Pb", "Pb", "Pb", "Pb", "Zn", "Zn", "Cd", "Cd"], "frac_coords": [[0.591, 0.125, 0.250], [0.159, 0.625, 0.250], [0.375, 0.409, 0.750], [0.875, 0.841, 0.750], [0.500, 0.500, 0.000], [0.250, 0.750, 0.500], [0.000, 0.000, 0.000], [0.750, 0.250, 0.500]], "formation_energy_ev_per_atom": 0.191, "e_above_lowest_polymorph_ev_per_fu": 0.45, "e_tot_ev_per_atom": -2.211, "sg": "No. 122"}

=====

Entry 3:
{"formula": "Li3BeRh", "functional": "GGA-PBE", "state": "relaxed", "lattice_angstrom": [[4.536, 0.000, 0.000], [0.000, 4.536, 0.000], [0.000, 0.000, 4.536]], "species": ["Be", "Rh", "Li", "Li", "Li"], "frac_coords": [[0.500, 0.500, 0.500], [0.000, 0.000, 0.000], [0.000, 0.500, 0.000], [0.000, 0.000, 0.500], [0.500, 0.000, 0.000]], "formation_energy_ev_per_atom": 0.715, "e_above_lowest_polymorph_ev_per_fu": 0.06, "e_tot_ev_per_atom": -2.649, "sg": "No. 221"}

=====

Entry 4:
{"formula": "PuAl2Zn4Ag", "functional": "GGA-PBE", "state": "relaxed", "lattice_angstrom": [[4.424, 0.000, 0.000], [2.212, 3.832, 0.000], [2.212, 1.277, 8.456]], "species": ["Pu", "Al", "Al", "Zn", "Zn", "Zn", "Zn", "Ag"], "frac_coords": [[0.000, 0.000, 0.000], [0.745, 0.745, 0.765], [0.255, 0.255, 0.235], [0.394, 0.394, 0.818], [0.874, 0.874, 0.379], [0.126, 0.126, 0.621], [0.606, 0.606, 0.182], [0.500, 0.500, 0.500]], "formation_energy_ev_per_atom": -0.054, "e_tot_ev_per_atom": -3.774, "sg": "No. 166"}